HoMgHg3 | the Alexandria database | PBE-GGA | optimized geometry; E_tot = -1.5873 eV per atom; Fermi-level density of states = 0.34 states/eV/atom; spin magnetization = 0.00 μB/f.u.; symmetry = C2/m
1.0
5.2038 0.0000 0.0514
0.0000 5.3838 0.0000
-2.5373 -2.6919 9.0176
Mg Hg Ho
2 6 2
direct
0.6233 0.8769 0.7538
0.3767 0.1231 0.2462
0.9601 0.2085 0.4170
0.4487 0.6944 0.3888
0.5513 0.3056 0.6112
0.7828 0.0334 0.0668
0.0399 0.7915 0.5830
0.2172 0.9666 0.9332
0.8705 0.6103 0.2205
0.1295 0.3897 0.7795